# 1
Entry from Alexandria via LeMat-Bulk: a geometry-optimized PmTh5Sb8 structure (PBE).

Computed properties:
Its total energy is -6.28 eV per atom. The size of the total moment is 0.00 μB/f.u.

abc: 9.434 9.434 9.460
angles: 90.00 90.00 90.00
Space group I-4 (No. 82)
Inequivalent atoms, fractional coordinates:
Pm  0.000  0.000  0.000 (multiplicity 2)
Th  0.000  0.500  0.250 (multiplicity 2)
Th  0.125  0.750  0.627 (multiplicity 8)
Sb  0.079  0.670  0.956 (multiplicity 8)
Sb  0.081  0.829  0.297 (multiplicity 8)

# 2
Entry from Alexandria via LeMat-Bulk: a geometry-optimized Pm3ThSb3 structure (PBE).

Computed properties:
Its total energy is -5.73 eV per atom. The size of the total moment is 0.00 μB/f.u.

abc: 9.2739 9.2739 18.8658
angles: 90.00 90.00 120.00
Space group R-3 (No. 148, hexagonal axes)
Inequivalent atoms, fractional coordinates:
Pm  0.0033  0.7334  0.0861 (multiplicity 18)
Th  0.0000  0.0000  0.3325 (multiplicity 6)
Sb  0.0025  0.6204  0.9200 (multiplicity 18)

# 3
Entry from Alexandria via LeMat-Bulk: a geometry-optimized PmTh4Sb6 structure (PBE).

Computed properties:
Its total energy is -6.18 eV per atom. The size of the total moment is 0.00 μB/f.u.

abc: 12.4356 12.4356 15.3742
angles: 90.00 90.00 120.00
Space group R-3c (No. 167, hexagonal axes)
Inequivalent atoms, fractional coordinates:
Pm  0.0000  0.0000  0.0000 (multiplicity 6)
Th  0.0000  0.0000  0.2500 (multiplicity 6)
Th  0.0000  0.3931  0.2500 (multiplicity 18)
Sb  0.0360  0.2157  0.3839 (multiplicity 36)

# 4
Entry from Alexandria via LeMat-Bulk: a geometry-optimized Pm5ThSb4 structure (PBE).

Computed properties:
Its total energy is -5.51 eV per atom. The size of the total moment is 0.00 μB/f.u.

abc: 19.168 4.418 8.702
angles: 90.00 105.40 90.00
Space group C2/m (No. 12)
Inequivalent atoms, fractional coordinates:
Pm  0.000  0.000  0.000 (multiplicity 2)
Pm  0.162  0.500  0.328 (multiplicity 4)
Pm  0.177  0.500  0.847 (multiplicity 4)
Th  0.000  0.000  0.500 (multiplicity 2)
Sb  0.008  0.500  0.759 (multiplicity 4)
Sb  0.171  0.000  0.589 (multiplicity 4)

# 5
Entry from Alexandria via LeMat-Bulk: a geometry-optimized PmTh2Sb2 structure (PBE).

Computed properties:
Its total energy is -6.07 eV per atom. The size of the total moment is 0.00 μB/f.u.

abc: 4.571 4.571 15.081
angles: 90.00 90.00 90.00
Space group I4/mmm (No. 139)
Inequivalent atoms, fractional coordinates:
Pm  0.000  0.000  0.000 (multiplicity 2)
Th  0.000  0.500  0.250 (multiplicity 4)
Sb  0.000  0.000  0.402 (multiplicity 4)

# 6
Entry from Alexandria via LeMat-Bulk: a geometry-optimized Pm3ThSb3 structure (PBE).

Computed properties:
Its total energy is -5.84 eV per atom. The size of the total moment is 0.00 μB/f.u.

abc: 9.457 9.457 9.457
angles: 90.00 90.00 90.00
Space group P2_13 (No. 198)
Inequivalent atoms, fractional coordinates:
Pm  0.071  0.429  0.571 (multiplicity 4)
Pm  0.180  0.180  0.180 (multiplicity 4)
Pm  0.180  0.820  0.320 (multiplicity 4)
Th  0.072  0.572  0.928 (multiplicity 4)
Sb  0.000  0.249  0.875 (multiplicity 12)